Density functional theory data (PBE) for a geometry-optimized Ce9PaAl2 structure.

Computed properties:
- formation energy from the elements (eV/atom) = -0.0809

Cell lengths 4.6469, 4.6469, 14.2420 Å; angles 90.00, 90.00, 90.00 degrees
Last column: magnetic moment on the atom in μB.
Fractional coordinates of all 12 atoms:
Ce1 0.5000 0.5000 0.3255  0.47
Ce2 0.5000 0.0000 0.1695  0.15
Ce3 0.5000 0.0000 0.5000  0.64
Ce4 0.0000 0.5000 0.8305  0.15
Ce5 0.5000 0.0000 0.8305  0.15
Ce6 0.5000 0.5000 0.6745  0.47
Ce7 0.0000 0.5000 0.5000  0.64
Ce8 0.5000 0.5000 0.0000  0.04
Ce9 0.0000 0.5000 0.1695  0.15
Al1 0.0000 0.0000 0.6649  0.00
Al2 0.0000 0.0000 0.3351  0.00
Pa1 0.0000 0.0000 0.0000  0.00

Density functional theory data (PBE) for a geometry-optimized Ce2PaAl structure.

Computed properties:
- formation energy from the elements (eV/atom) = -0.0715

Cell lengths 4.5919, 4.6005, 4.6005 Å; angles 90.00, 90.00, 90.00 degrees
Last column: magnetic moment on the atom in μB.
Fractional coordinates of all 4 atoms:
Al1 0.5000 0.0000 0.0000  0.00
Pa1 0.5000 0.5000 0.5000  0.18
Ce1 0.0000 0.5000 0.0000  0.19
Ce2 0.0000 0.0000 0.5000  0.19

Density functional theory data (PBE) for a geometry-optimized CePa3Al8 structure.

Computed properties:
- formation energy from the elements (eV/atom) = -0.3348

Cell lengths 5.5913, 5.5913, 8.8167 Å; angles 90.00, 90.00, 120.00 degrees
Last column: magnetic moment on the atom in μB.
Fractional coordinates of all 12 atoms:
Al1 0.3333 0.6667 0.0000  0.00
Al2 0.5061 0.0121 0.7519  0.00
Al3 0.3333 0.6667 0.4988  0.00
Al4 0.1607 0.3215 0.2480  0.00
Al5 0.9879 0.4939 0.7519  0.00
Al6 0.1607 0.8393 0.2480  0.00
Al7 0.5061 0.4939 0.7519  0.00
Al8 0.6785 0.8393 0.2480  0.00
Pa1 0.0000 0.0000 0.9217  0.18
Pa2 0.6667 0.3333 0.0869  0.15
Pa3 0.6667 0.3333 0.4100  0.17
Ce1 0.0000 0.0000 0.5829  0.23

Density functional theory data (PBE) for a geometry-optimized CePuPaAl structure.

Computed properties:
- formation energy from the elements (eV/atom) = 0.0404

Cell lengths 5.0974, 5.0974, 5.0974 Å; angles 60.00, 60.00, 60.00 degrees
Last column: magnetic moment on the atom in μB.
Fractional coordinates of all 4 atoms:
Al1 0.5000 0.5000 0.5000  -0.02
Ce1 0.7500 0.7500 0.7500  0.57
Pa1 0.0000 0.0000 0.0000  1.09
Pu1 0.2500 0.2500 0.2500  5.38

Density functional theory data (PBE) for a geometry-optimized Ce2PaAl2Ru5 structure.

Computed properties:
- formation energy from the elements (eV/atom) = -0.5138

Cell lengths 3.5244, 10.1312, 10.1312 Å; angles 90.00, 90.00, 90.00 degrees
Last column: magnetic moment on the atom in μB.
Fractional coordinates of all 20 atoms:
Ru1 0.5000 0.0000 0.5000  -0.02
Ru2 0.5000 0.9273 0.2041  -0.02
Ru3 0.5000 0.0727 0.7959  -0.02
Ru4 0.5000 0.4273 0.2959  -0.02
Ru5 0.5000 0.5000 0.0000  -0.02
Ru6 0.5000 0.7959 0.9273  -0.02
Ru7 0.5000 0.7041 0.4273  -0.02
Ru8 0.5000 0.2041 0.0727  -0.02
Ru9 0.5000 0.5727 0.7041  -0.02
Ru10 0.5000 0.2959 0.5727  -0.02
Pa1 0.0000 0.0000 0.0000  0.01
Pa2 0.0000 0.5000 0.5000  0.01
Al1 0.0000 0.1264 0.6264  0.00
Al2 0.0000 0.3736 0.1264  0.00
Al3 0.0000 0.8736 0.3736  0.00
Al4 0.0000 0.6264 0.8736  0.00
Ce1 0.0000 0.3310 0.8310  0.17
Ce2 0.0000 0.6690 0.1690  0.17
Ce3 0.0000 0.1690 0.3310  0.17
Ce4 0.0000 0.8310 0.6690  0.17

Density functional theory data (PBE) for a geometry-optimized CePa2AlS8 structure.

Computed properties:
- uncorrected formation energy (eV/atom) = -1.42

Cell lengths 6.1896, 6.0678, 8.1503 Å; angles 90.00, 90.00, 87.34 degrees
Last column: magnetic moment on the atom in μB.
Fractional coordinates of all 12 atoms:
S1 0.6777 0.7207 0.0000  -0.01
S2 0.8315 0.2111 0.2183  -0.01
S3 0.3223 0.2793 0.0000  -0.01
S4 0.3429 0.2883 0.5000  -0.01
S5 0.6571 0.7117 0.5000  -0.01
S6 0.1685 0.7889 0.7817  -0.01
S7 0.8315 0.2111 0.7817  -0.01
S8 0.1685 0.7889 0.2183  -0.01
Pa1 0.5000 0.5000 0.7590  0.17
Pa2 0.5000 0.5000 0.2410  0.17
Ce1 0.0000 0.0000 0.5000  0.73
Al1 0.0000 0.0000 0.0000  0.01

Density functional theory data (PBE) for a geometry-optimized CeScPaAl structure.

Computed properties:
- formation energy from the elements (eV/atom) = 0.0680

Cell lengths 5.0895, 5.0895, 5.0895 Å; angles 60.00, 60.00, 60.00 degrees
Last column: magnetic moment on the atom in μB.
Fractional coordinates of all 4 atoms:
Ce1 0.2500 0.2500 0.2500  0.49
Al1 0.0000 0.0000 0.0000  -0.01
Sc1 0.7500 0.7500 0.7500  0.18
Pa1 0.5000 0.5000 0.5000  0.51

Density functional theory data (PBE) for a geometry-optimized CePaAlTc structure.

Computed properties:
- formation energy from the elements (eV/atom) = -0.1799

Cell lengths 4.8299, 4.8299, 4.8299 Å; angles 60.00, 60.00, 60.00 degrees
Last column: magnetic moment on the atom in μB.
Fractional coordinates of all 4 atoms:
Al1 0.2500 0.2500 0.2500  0.00
Pa1 0.7500 0.7500 0.7500  0.28
Tc1 0.5000 0.5000 0.5000  -0.09
Ce1 0.0000 0.0000 0.0000  0.31

Density functional theory data (PBE) for a geometry-optimized CePaTiAl structure.

Computed properties:
- formation energy from the elements (eV/atom) = 0.0214

Cell lengths 4.9419, 4.9419, 4.9419 Å; angles 60.00, 60.00, 60.00 degrees
Last column: magnetic moment on the atom in μB.
Fractional coordinates of all 4 atoms:
Ti1 0.5000 0.5000 0.5000  0.47
Ce1 0.0000 0.0000 0.0000  0.20
Al1 0.2500 0.2500 0.2500  -0.01
Pa1 0.7500 0.7500 0.7500  0.37

Density functional theory data (PBE) for a geometry-optimized CeYPaAl structure.

Computed properties:
- formation energy from the elements (eV/atom) = 0.1209

Cell lengths 5.1901, 5.1901, 5.1901 Å; angles 60.00, 60.00, 60.00 degrees
Last column: magnetic moment on the atom in μB.
Fractional coordinates of all 4 atoms:
Ce1 0.5000 0.5000 0.5000  0.53
Y1 0.2500 0.2500 0.2500  0.12
Al1 0.0000 0.0000 0.0000  -0.01
Pa1 0.7500 0.7500 0.7500  0.51

Density functional theory data (PBE) for a geometry-optimized CeZrPaAl structure.

Computed properties:
- formation energy from the elements (eV/atom) = -0.0079

Cell lengths 5.0663, 5.0663, 5.0663 Å; angles 60.00, 60.00, 60.00 degrees
Fractional coordinates of all 4 atoms:
Pa1 0.5000 0.5000 0.5000
Ce1 0.2500 0.2500 0.2500
Al1 0.0000 0.0000 0.0000
Zr1 0.7500 0.7500 0.7500

Density functional theory data (PBE) for a geometry-optimized CeAlPb2 structure.

Computed properties:
- formation energy from the elements (eV/atom) = -0.0394

Cell lengths 4.9818, 4.9818, 5.9464 Å; angles 65.24, 65.24, 60.00 degrees
Last column: magnetic moment on the atom in μB.
Fractional coordinates of all 4 atoms:
Pb1 0.2716 0.2716 0.1852  0.02
Pb2 0.7284 0.7284 0.8148  0.02
Al1 0.0000 0.0000 0.0000  -0.01
Ce1 0.5000 0.5000 0.5000  0.89